A plane-wave DFT calculation with GGA+U was carried out for a relaxed InW4O12 crystal.

abc: 7.5425 7.7404 7.8653
angles: 90.00 90.00 90.00
Space group Immm (No. 71)
One atom of each set of equivalent atoms:
In 0.0000 0.0000 0.0000
W 0.2500 0.2500 0.2500
O 0.0000 0.2976 0.2862
O 0.1929 0.2121 0.0000
O 0.2000 0.0000 0.2711

- Total magnetization: 6.00 μB/cell
- Electronic total energy: -7.2093 eV/atom
- D(E_F): 2.65 states/eV/f.u.